# Ca2HgRh | the Alexandria database | PBE | relaxed
# Electronic total energy, eV per formula unit: -12.97
# ΔE_f, eV per atom: -0.33
data_Ca2HgRh
_space_group_name_H-M_alt 'I m m 2'
_space_group_IT_number 44
_space_group_name_Hall 'I 2 -2'
_cell_length_a 3.524
_cell_length_b 4.954
_cell_length_c 11.276
_cell_angle_alpha 90.00
_cell_angle_beta 90.00
_cell_angle_gamma 90.00
loop_
_atom_site_label
_atom_site_type_symbol
_atom_site_fract_x
_atom_site_fract_y
_atom_site_fract_z
Ca1 Ca 0.000 0.000 0.000
Ca2 Ca 0.000 0.500 0.202
Hg1 Hg 0.000 0.500 0.791
Rh1 Rh 0.000 0.000 0.486